## Ho8MgNi2 (PBE-GGA)

Data for a geometry-optimized Ho8MgNi2 structure.

Cell: 5.366 7.904 7.904 Å, 114.77 96.97 96.97°
Fractional coordinates of all 11 atoms:
1 Ho 0.925 0.926 0.668
2 Ho 0.925 0.668 0.926
3 Ho 0.300 0.607 0.607
4 Ho 0.500 0.747 0.253
5 Ho 0.500 0.253 0.747
6 Ho 0.700 0.393 0.393
7 Ho 0.075 0.332 0.074
8 Ho 0.075 0.074 0.332
9 Mg 0.500 0.000 0.000
10 Ni 0.000 0.306 0.694
11 Ni 0.000 0.694 0.306

Summary:
- ΔH_f (0 K) (eV per atom) = -0.084
- Fermi-level density of states (states/eV/atom) = 1.31